# SrNiS2O8

Crystalline SrNiS2O8 at its relaxed geometry (PBE+U, the Alexandria database).

The density of states at the Fermi level comes out at 0.00 states/eV/atom. The total magnetization comes out at 5.718 μB per cell. As for the total DFT energy (no corrections): -219.3 eV per cell. The crystal system is trigonal.

Structure (CIF):
```
data_SrNiS2O8
_cell_length_a 4.8116
_cell_length_b 4.8116
_cell_length_c 21.7345
_cell_angle_alpha 90.00
_cell_angle_beta 90.00
_cell_angle_gamma 120.00
_space_group_name_H-M_alt 'R -3'
_space_group_IT_number 148
_space_group_name_Hall '-R 3'
loop_
_atom_site_label
_atom_site_type_symbol
_atom_site_fract_x
_atom_site_fract_y
_atom_site_fract_z
Sr1 Sr 0.0000 0.0000 0.0000
Ni1 Ni 0.0000 0.0000 0.5000
S1 S 0.0000 0.0000 0.2453
O1 O 0.0000 0.0000 0.3142
O2 O 0.0114 0.7107 0.2247
```